LiMg2Cu: optimized geometry, GGA-PBE.

POSCAR file:
```
LiMg2Cu
1.0
-0.219 -4.155 -2.003
2.847 -3.372 1.359
-1.656 -3.613 2.351
Cu Li Mg
1 1 2
Direct
0.500 0.500 0.500
0.750 0.750 0.750
0.000 0.000 0.000
0.250 0.250 0.250
```

formation enthalpy at 0 K	0.005	eV per atom


Tl2TeI4Cl2: optimized geometry, GGA-PBE.

POSCAR file:
```
Tl2TeI4Cl2
1.0
7.978 1.267 0.862
3.061 7.298 -0.005
3.061 2.674 6.790
Tl Te I Cl
2 1 4 2
Direct
0.235 0.756 0.756
0.765 0.244 0.244
0.500 0.000 0.000
0.291 0.703 0.212
0.709 0.788 0.297
0.709 0.297 0.788
0.291 0.212 0.703
0.187 0.233 0.233
0.813 0.767 0.767
```

formation energy (no corrections)	-4.53	eV per formula unit